Entry 1:
Compound: Nb2ZnSn2
Source: the Alexandria database
Functional: PBE
Structure: optimized geometry

a b c (Å): 7.5614 7.5614 3.6316
angles (deg): 90.00 90.00 90.00
With the nearest neighbours (Å) after each atom.
Space group P4/mbm (No. 127)
Inequivalent atoms, fractional coordinates:
Nb1 0.1343 0.3657 0.0000 [4 per cell]  6 Sn 2.87, 1 Nb 2.87
Zn1 0.0000 0.0000 0.5000 [2 per cell]  4 Sn 2.85
Sn1 0.1581 0.6581 0.5000 [4 per cell]  2 Zn 2.85, 6 Nb 2.87

Computed properties:
- Volume: 20.76 Å³ per atom
- E above lowest polymorph: 180 meV/atom
- Calculated formation energy: 0.21 eV/atom
- Magnetization: 0.0 μB/f.u.
- Fermi-level density of states: 1.20 states/eV per cell


Entry 2:
Compound: NbZn2Sn
Source: the Alexandria database
Functional: PBE
Structure: optimized geometry

a b c (Å): 4.1333 4.1333 4.0710
angles (deg): 90.00 90.00 90.00
With the nearest neighbours (Å) after each atom.
Space group P4/mmm (No. 123)
Inequivalent atoms, fractional coordinates:
Nb1 0.0000 0.0000 0.0000 [1 per cell]  8 Zn 2.90, 4 Sn 2.92
Zn1 0.0000 0.5000 0.5000 [2 per cell]  4 Nb 2.90, 4 Sn 2.90, 4 Zn 2.92
Sn1 0.5000 0.5000 0.0000 [1 per cell]  8 Zn 2.90, 4 Nb 2.92

Computed properties:
- Volume: 17.39 Å³ per atom
- Calculated formation energy: -0.01 eV/atom
- Magnetization: 0.0 μB/f.u.
- Fermi-level density of states: 1.64 states/eV per cell


Entry 3:
Compound: Nb3ZnSn
Source: the Alexandria database
Functional: PBE
Structure: optimized geometry

a b c (Å): 4.7308 4.7308 4.7308
angles (deg): 90.00 90.00 90.00
With the nearest neighbours (Å) after each atom.
Space group Pm-3m (No. 221)
Inequivalent atoms, fractional coordinates:
Nb1 0.0000 0.0000 0.5000 [3 per cell]  2 Zn 2.37
Zn1 0.0000 0.0000 0.0000 [1 per cell]  6 Nb 2.37
Sn1 0.5000 0.5000 0.5000 [1 per cell]  12 Nb 3.35

Computed properties:
- Volume: 21.18 Å³ per atom
- E above lowest polymorph: 0 meV/atom
- Calculated formation energy: 0.88 eV/atom
- Magnetization: 0.0 μB/f.u.
- Fermi-level density of states: 8.50 states/eV per cell